[1]
VASP calculation (GGA-PBE) on a relaxed structure of ScTeOs.

Cell lengths 4.5141, 4.5141, 3.2560 Å; angles 90.00, 90.00, 120.00 degrees
Space group P-6m2 (No. 187)
Inequivalent atoms, fractional coordinates:
Sc (0.0000, 0.0000, 0.0000) [1 per cell]
Te (0.6667, 0.3333, 0.5000) [1 per cell]
Os (0.3333, 0.6667, 0.5000) [1 per cell]

Properties
**Uncorrected formation energy**: -0.232 eV per atom
**Electronic total energy**: -7.133 eV/atom



[2]
VASP calculation (GGA-PBE) on a relaxed structure of YSc2Mn.

Cell lengths 4.400, 4.400, 4.781 Å; angles 90.00, 90.00, 90.00 degrees
Space group P4/mmm (No. 123)
Inequivalent atoms, fractional coordinates:
Y (0.000, 0.000, 0.000) [1 per cell]
Sc (0.000, 0.500, 0.500) [2 per cell]
Mn (0.500, 0.500, 0.000) [1 per cell]

Properties
**ΔH_f (0 K)**: 0.175 eV per atom
**Electronic total energy**: -6.899 eV/atom



[3]
VASP calculation (GGA-PBE) on a relaxed structure of Ta2NiP.

Cell lengths 5.666, 6.944, 3.022 Å; angles 90.00, 97.69, 90.00 degrees
Space group C2/m (No. 12)
Inequivalent atoms, fractional coordinates:
Ta (0.250, 0.250, 0.000) [4 per cell]
Ni (0.000, 0.000, 0.500) [2 per cell]
P (0.000, 0.500, 0.500) [2 per cell]

Properties
**ΔH_f (0 K)**: -0.301 eV per atom
**Electronic total energy**: -9.025 eV/atom



[4]
VASP calculation (GGA-PBE) on a relaxed structure of Ho3TmHg2.

Cell lengths 3.638, 3.638, 12.441 Å; angles 90.00, 90.00, 90.00 degrees
Space group P4/mmm (No. 123)
Inequivalent atoms, fractional coordinates:
Ho (0.000, 0.000, 0.000) [1 per cell]
Ho (0.000, 0.000, 0.306) [2 per cell]
Tm (0.500, 0.500, 0.500) [1 per cell]
Hg (0.500, 0.500, 0.153) [2 per cell]

Properties
**ΔH_f (0 K)**: -0.296 eV per atom
**Electronic total energy**: -3.431 eV/atom



[5]
VASP calculation (GGA-PBE) on a relaxed structure of SrCaMg17.

Cell lengths 10.4772, 10.4772, 15.3521 Å; angles 90.00, 90.00, 120.00 degrees
Space group R3m (No. 160, hexagonal axes)
Inequivalent atoms, fractional coordinates:
Sr (0.0000, 0.0000, 0.0000) [3 per cell]
Ca (0.0000, 0.0000, 0.3271) [3 per cell]
Mg (0.0000, 0.0000, 0.5616) [3 per cell]
Mg (0.0000, 0.0000, 0.7612) [3 per cell]
Mg (0.9997, 0.4998, 0.8142) [9 per cell]
Mg (0.0355, 0.3671, 0.3289) [18 per cell]
Mg (0.1678, 0.3355, 0.4964) [9 per cell]
Mg (0.1702, 0.3403, 0.8427) [9 per cell]

Properties
**ΔH_f (0 K)**: -0.041 eV per atom
**Electronic total energy**: -1.662 eV/atom



[6]
VASP calculation (GGA-PBE) on a relaxed structure of PmEr5Sc4.

Cell lengths 10.049, 11.121, 5.366 Å; angles 90.00, 90.00, 90.00 degrees
Space group Pmmn (No. 59, origin choice 2)
Inequivalent atoms, fractional coordinates:
Pm (0.250, 0.250, 0.249) [2 per cell]
Er (0.051, 0.049, 0.250) [8 per cell]
Er (0.250, 0.750, 0.751) [2 per cell]
Sc (0.001, 0.250, 0.750) [4 per cell]
Sc (0.250, 0.057, 0.750) [4 per cell]

Properties
**ΔH_f (0 K)**: 0.291 eV per atom
**Electronic total energy**: -4.998 eV/atom



[7]
VASP calculation (GGA-PBE) on a relaxed structure of ReHg.

Cell lengths 3.532, 3.532, 6.806 Å; angles 90.00, 90.00, 90.00 degrees
Space group P4/nmm (No. 129, origin choice 2)
Inequivalent atoms, fractional coordinates:
Re (0.250, 0.750, 0.000) [2 per cell]
Hg (0.250, 0.250, 0.361) [2 per cell]

Properties
**ΔH_f (0 K)**: 0.966 eV per atom
**Electronic total energy**: -5.409 eV/atom



[8]
VASP calculation (GGA-PBE) on a relaxed structure of K3Pr.

Cell lengths 8.6387, 8.6387, 7.1387 Å; angles 90.00, 90.00, 120.00 degrees
Space group P6_3/mmc (No. 194)
Inequivalent atoms, fractional coordinates:
K (0.1709, 0.3417, 0.2500) [6 per cell]
Pr (0.3333, 0.6667, 0.7500) [2 per cell]

Properties
**ΔH_f (0 K)**: 0.517 eV per atom
**Electronic total energy**: -1.501 eV/atom



[9]
VASP calculation (GGA-PBE) on a relaxed structure of NiMoP.

Cell lengths 3.7516, 3.7516, 3.1806 Å; angles 90.00, 90.00, 120.00 degrees
Space group P-6m2 (No. 187)
Inequivalent atoms, fractional coordinates:
Ni (0.0000, 0.0000, 0.0000) [1 per cell]
Mo (0.6667, 0.3333, 0.5000) [1 per cell]
P (0.3333, 0.6667, 0.0000) [1 per cell]

Properties
**ΔH_f (0 K)**: -0.260 eV per atom
**Electronic total energy**: -7.601 eV/atom



[10]
VASP calculation (GGA-PBE) on a relaxed structure of Pr2Dy3Ge4.

Cell lengths 7.913, 7.951, 7.658 Å; angles 90.00, 109.32, 90.00 degrees
Space group P2_1/c (No. 14)
Inequivalent atoms, fractional coordinates:
Pr (0.195, 0.178, 0.072) [4 per cell]
Dy (0.246, 0.670, 0.248) [4 per cell]
Dy (0.500, 0.000, 0.500) [2 per cell]
Ge (0.083, 0.539, 0.854) [4 per cell]
Ge (0.491, 0.131, 0.866) [4 per cell]

Properties
**ΔH_f (0 K)**: -0.871 eV per atom
**Electronic total energy**: -5.519 eV/atom



[11]
VASP calculation (GGA-PBE) on a relaxed structure of SiRu2Cl.

Cell lengths 2.923, 4.141, 6.603 Å; angles 90.00, 98.03, 90.00 degrees
Space group Pm (No. 6)
Inequivalent atoms, fractional coordinates:
Si (0.000, 0.000, 0.000) [1 per cell]
Ru (0.410, 0.000, 0.695) [1 per cell]
Ru (0.935, 0.500, 0.831) [1 per cell]
Cl (0.546, 0.500, 0.486) [1 per cell]

Properties
**Uncorrected formation energy**: 0.241 eV per atom
**Electronic total energy**: -6.214 eV/atom



[12]
VASP calculation (GGA-PBE) on a relaxed structure of SmHfTcRh.

Cell lengths 6.734, 6.734, 6.734 Å; angles 90.00, 90.00, 90.00 degrees
Space group F-43m (No. 216)
Inequivalent atoms, fractional coordinates:
Sm (0.000, 0.000, 0.000) [4 per cell]
Hf (0.000, 0.000, 0.500) [4 per cell]
Tc (0.250, 0.250, 0.750) [4 per cell]
Rh (0.250, 0.250, 0.250) [4 per cell]

Properties
**ΔH_f (0 K)**: -0.410 eV per atom
**Electronic total energy**: -8.507 eV/atom



Q: Which value of electronic total energy does entry 2 give?
A: -6.899 eV/atom



Repeat the fifth record exactly.
VASP calculation (GGA-PBE) on a relaxed structure of SrCaMg17.

Cell lengths 10.4772, 10.4772, 15.3521 Å; angles 90.00, 90.00, 120.00 degrees
Space group R3m (No. 160, hexagonal axes)
Inequivalent atoms, fractional coordinates:
Sr (0.0000, 0.0000, 0.0000) [3 per cell]
Ca (0.0000, 0.0000, 0.3271) [3 per cell]
Mg (0.0000, 0.0000, 0.5616) [3 per cell]
Mg (0.0000, 0.0000, 0.7612) [3 per cell]
Mg (0.9997, 0.4998, 0.8142) [9 per cell]
Mg (0.0355, 0.3671, 0.3289) [18 per cell]
Mg (0.1678, 0.3355, 0.4964) [9 per cell]
Mg (0.1702, 0.3403, 0.8427) [9 per cell]

Properties
**ΔH_f (0 K)**: -0.041 eV per atom
**Electronic total energy**: -1.662 eV/atom



Q: Which value of electronic total energy does entry 11 give?
A: -6.214 eV/atom



Q: Which of these has the highest electronic total energy?
A: K3Pr